NdNiS2O8: optimized geometry, PBE with a Hubbard U.

POSCAR file:
```
NdNiS2O8
1.0
5.165 0.000 0.000
-2.583 4.473 0.000
0.000 0.000 7.006
O Nd S Ni
8 1 2 1
Cartesian
3.809 0.783 1.535 O
1.226 3.690 5.471 O
1.356 0.783 1.535 O
-1.226 3.690 5.471 O
2.583 2.907 1.535 O
0.000 2.982 3.502 O
0.000 1.566 5.471 O
2.583 1.491 3.504 O
0.000 0.000 3.503 Nd
0.000 2.982 5.008 S
2.583 1.491 1.999 S
0.000 0.000 0.000 Ni
```

* VASP energy: -74.4 eV for the cell shown
* SG: P-3m1 (164)
* D(E_F): 0.498 states/eV per atom
* mass density: 4.1 Mg/m³